The following is a DFT calculation (PBE with a Hubbard U) of an optimized crystal structure of LiNiPbO4.

## Properties
crystal system: orthorhombic
raw total energy: -5.0503 eV/atom

abc: 6.0911 6.6297 8.5379
angles: 90.00 90.00 90.00
With the nearest neighbours (Å) after each atom.
Space group Imma (No. 74)
Asymmetric unit:
Li1 0.0000 0.2500 0.1187 [4 per cell]  2 O 1.97
Ni1 0.2500 0.2500 0.7500 [4 per cell]  6 O 1.95-2.08
Pb1 0.0000 0.0000 0.5000 [4 per cell]  6 O 2.15-2.23
O1 0.0000 0.0369 0.7506 [8 per cell]  2 Ni 2.08, 1 Pb 2.15, 1 Li 2.21
O2 0.2437 0.2500 0.5216 [8 per cell]  1 Ni 1.95, 1 Li 1.97